# GdCoO3 | Alexandria | PBE with a Hubbard U | optimized geometry
# SG: Pm-3m, No. 221
# Total magnetic moment in μB/cell: 6.96
# Uncorrected energy in eV/atom: -8.834
data_GdCoO3
_chemical_formula_sum 'Gd1 Co1 O3'
_space_group_name_H-M_alt 'P 1'
_space_group_IT_number 1
_space_group_name_Hall 'P 1'
_cell_length_a 3.749
_cell_length_b 3.749
_cell_length_c 3.749
_cell_angle_alpha 90.00
_cell_angle_beta 90.00
_cell_angle_gamma 90.00
loop_
_atom_site_label
_atom_site_fract_x
_atom_site_fract_y
_atom_site_fract_z
_atom_site_occupancy
Gd1 0.000 0.000 0.000 1
Co1 0.500 0.500 0.500 1
O1 0.000 0.500 0.500 1
O2 0.500 0.000 0.500 1
O3 0.500 0.500 0.000 1